# 1
Compound: ScPtAu2
Source: Alexandria via LeMat-Bulk
Functional: PBE
Structure: optimized geometry

As for the density of states at the Fermi level: 0.5 states/eV/f.u. The volume comes out at 71.93 Å³/cell. The formation energy from the elements comes out at -720 meV/atom. For the total magnetization, the calculation gives 0.0 Bohr magnetons per cell.

The space group is Pmm2 (No. 25) and the conventional cell measures 3.503, 3.590 and 5.718 Å, with angles of 90.00, 90.00 and 90.00 degrees. Symmetry generates all atoms from Sc at (0.000, 0.000, 0.000), Pt at (0.500, 0.500, 0.227), Au at (0.000, 0.000, 0.487) and Au at (0.500, 0.500, 0.731).



# 2
Compound: Ca3In3Ga
Source: Alexandria via LeMat-Bulk
Functional: PBE
Structure: optimized geometry

As for the density of states at the Fermi level: 4.0 states/eV/f.u. The volume comes out at 797.63 Å³/cell. The formation energy from the elements comes out at -430 meV/atom. For the total magnetization, the calculation gives 0.0 Bohr magnetons per cell.

The space group is C2/m (No. 12) and the conventional cell measures 11.622, 4.518 and 16.025 Å, with angles of 90.00, 108.57 and 90.00 degrees. Symmetry generates all atoms from Ca at (0.023, 0.000, 0.382), Ca at (0.107, 0.000, 0.922), Ca at (0.240, 0.000, 0.233), In at (0.022, 0.500, 0.233), In at (0.114, 0.500, 0.077), In at (0.145, 0.500, 0.536) and Ga at (0.231, 0.500, 0.381).



- Which of these has the lowest volume?
  ScPtAu2